1:
The following is a GGA-PBEsol calculation of a geometry-optimized Zn2OsW structure, from Alexandria via LeMat-Bulk.

Calculated values
- Total moment: 0.000 μB per atom
- DOS(E_F): 3.468 states/eV/f.u.

Cell lengths 2.7567, 4.0359, 5.1240 Å; angles 90.00, 90.00, 90.00 degrees
Sites, in units of the cell vectors:
Zn: 0.0000 0.0000 0.2448
Os: 0.5000 0.5000 0.0000
W: 0.5000 0.5000 0.5000
Zn: 0.0000 0.0000 0.7552


2:
The following is a GGA-PBEsol calculation of a geometry-optimized Zn2OsW structure, from Alexandria via LeMat-Bulk.

Calculated values
- Total moment: 0.000 μB per atom
- DOS(E_F): 3.937 states/eV/f.u.

Cell lengths 3.7085, 3.7085, 4.9168 Å; angles 112.16, 112.16, 90.00 degrees
Sites, in units of the cell vectors:
W: 0.0000 0.0000 0.0000
Zn: 0.7500 0.2500 0.5000
Os: 0.5000 0.5000 0.0000
Zn: 0.2500 0.7500 0.5000


The structure with the most favorable energy is 2; the runner-up is 19 meV/atom above it.


1:
The following is a GGA-PBEsol calculation of a geometry-optimized P structure, from Alexandria via LeMat-Bulk.

Calculated values
- Total moment: 0.000 μB per atom

Cell lengths 5.4372, 6.1451, 7.6177 Å; angles 90.00, 90.00, 102.79 degrees
Sites, in units of the cell vectors:
P: 0.7438 0.6666 0.6493
P: 0.5519 0.3252 0.7246
P: 0.1644 0.3530 0.3528
P: 0.1461 0.6952 0.7268
P: 0.6292 0.1156 0.5000
P: 0.5519 0.3252 0.2754
P: 0.7438 0.6666 0.3507
P: 0.1644 0.3530 0.6472
P: 0.2291 0.9222 0.5000
P: 0.1461 0.6952 0.2732


2:
The following is a GGA-PBEsol calculation of a geometry-optimized P structure, from Alexandria via LeMat-Bulk.

Calculated values
- Total moment: 0.000 μB per atom

Cell lengths 9.0949, 9.1601, 21.5579 Å; angles 81.87, 90.00, 90.00 degrees
Sites, in units of the cell vectors:
P: 0.9028 0.1859 0.6736
P: 0.9718 0.9406 0.8848
P: 0.7768 0.6863 0.3855
P: 0.6362 0.2434 0.3344
P: 0.0947 0.2095 0.5418
P: 0.3212 0.7541 0.3003
P: 0.0972 0.6859 0.1736
P: 0.6026 0.7882 0.9593
P: 0.1555 0.9565 0.0421
P: 0.8644 0.2842 0.9283
P: 0.1964 0.1222 0.1806
P: 0.3632 0.5138 0.9704
P: 0.0947 0.2905 0.9582
P: 0.8649 0.4723 0.0651
P: 0.0282 0.4406 0.3848
P: 0.6788 0.2459 0.6997
P: 0.2232 0.1863 0.8855
P: 0.4394 0.4012 0.1705
P: 0.3638 0.7566 0.6656
P: 0.3632 0.9862 0.5296
P: 0.6118 0.4720 0.5700
P: 0.8644 0.2158 0.5717
P: 0.0282 0.0594 0.1152
P: 0.6705 0.8732 0.3276
P: 0.3295 0.3732 0.8276
P: 0.5053 0.5906 0.1013
P: 0.1555 0.5435 0.4579
P: 0.0972 0.8141 0.3264
P: 0.0561 0.1292 0.8197
P: 0.3705 0.7469 0.5624
P: 0.1351 0.5277 0.9349
P: 0.8162 0.0684 0.3325
P: 0.8036 0.6222 0.6806
P: 0.6133 0.4770 0.6715
P: 0.6295 0.2531 0.4376
P: 0.1964 0.3778 0.3194
P: 0.6368 0.0138 0.4704
P: 0.9053 0.7905 0.4582
P: 0.8036 0.8778 0.8194
P: 0.6118 0.0280 0.9300
P: 0.3974 0.2118 0.0407
P: 0.2691 0.3128 0.1140
P: 0.1351 0.9723 0.5651
P: 0.1838 0.5684 0.8325
P: 0.3867 0.5230 0.3285
P: 0.2232 0.3137 0.6145
P: 0.4947 0.0906 0.6013
P: 0.5606 0.9012 0.6705
P: 0.1356 0.7842 0.4283
P: 0.4947 0.4094 0.8987
P: 0.6705 0.6268 0.1724
P: 0.5606 0.5988 0.8295
P: 0.9028 0.3141 0.8264
P: 0.3882 0.9720 0.0700
P: 0.3882 0.5280 0.4300
P: 0.5053 0.9094 0.3987
P: 0.6295 0.2469 0.0624
P: 0.6788 0.2541 0.8003
P: 0.8649 0.0277 0.4349
P: 0.4394 0.0988 0.3295
P: 0.3867 0.9770 0.1715
P: 0.8445 0.4565 0.5421
P: 0.9439 0.8708 0.1803
P: 0.3638 0.7434 0.8344
P: 0.7309 0.8128 0.6140
P: 0.0561 0.3708 0.6803
P: 0.2691 0.1872 0.3860
P: 0.1356 0.7158 0.0717
P: 0.6368 0.4862 0.0296
P: 0.7768 0.8137 0.1145
P: 0.3212 0.7459 0.1997
P: 0.9718 0.5594 0.6152
P: 0.6133 0.0230 0.8285
P: 0.3705 0.7531 0.9376
P: 0.6026 0.7118 0.5407
P: 0.3974 0.2882 0.4593
P: 0.3295 0.1268 0.6724
P: 0.1838 0.9316 0.6675
P: 0.9053 0.7095 0.0418
P: 0.6362 0.2566 0.1656
P: 0.9439 0.6292 0.3197
P: 0.8162 0.4316 0.1675
P: 0.7309 0.6872 0.8860
P: 0.8445 0.0435 0.9579


3:
The following is a GGA-PBEsol calculation of a geometry-optimized P structure, from Alexandria via LeMat-Bulk.

Calculated values
- Total moment: 0.000 μB per atom
- DOS(E_F): 0.174 states/eV/f.u.

Cell lengths 3.4443, 3.4443, 3.5500 Å; angles 60.98, 60.98, 60.00 degrees
Sites, in units of the cell vectors:
P: 0.2328 0.2328 0.3015
P: 0.7672 0.7672 0.6985


4:
The following is a GGA-PBEsol calculation of a geometry-optimized P structure, from Alexandria via LeMat-Bulk.

Calculated values
- Total moment: 0.000 μB per atom
- DOS(E_F): 0.641 states/eV/f.u.

Cell lengths 3.7963, 3.7963, 3.7963 Å; angles 60.00, 60.00, 60.00 degrees
Sites, in units of the cell vectors:
P: 0.7500 0.7500 0.7500
P: 0.5000 0.5000 0.5000


The structure with the most favorable energy is 3; the runner-up is 34 meV/atom above it.


1:
The following is a GGA-PBEsol calculation of a geometry-optimized P structure, from Alexandria via LeMat-Bulk.

Calculated values
- Total moment: 0.000 μB per atom

Cell lengths 6.9662, 11.5597, 12.0757 Å; angles 104.79, 108.54, 95.28 degrees
Sites, in units of the cell vectors:
P: 0.9931 0.4727 0.2725
P: 0.4533 0.5084 0.6473
P: 0.5502 0.6015 0.8451
P: 0.7286 0.3278 0.1448
P: 0.1276 0.4194 0.5883
P: 0.9845 0.5837 0.1469
P: 0.6285 0.3340 0.4152
P: 0.8746 0.1705 0.5821
P: 0.2579 0.3086 0.8435
P: 0.7421 0.6914 0.1565
P: 0.5713 0.9176 0.5594
P: 0.3192 0.2317 0.3692
P: 0.4997 0.9306 0.8366
P: 0.2487 0.7752 0.7233
P: 0.7499 0.2775 0.7201
P: 0.7244 0.1592 0.8325
P: 0.0972 0.0024 0.3749
P: 0.7926 0.8679 0.8308
P: 0.4498 0.3985 0.1549
P: 0.5467 0.4916 0.3527
P: 0.2501 0.7225 0.2799
P: 0.3715 0.6660 0.5848
P: 0.0341 0.9548 0.1736
P: 0.4287 0.0824 0.4406
P: 0.2756 0.8408 0.1675
P: 0.4495 0.5526 0.0742
P: 0.2074 0.1321 0.1692
P: 0.7513 0.2248 0.2767
P: 0.0069 0.5273 0.7275
P: 0.5003 0.0694 0.1634
P: 0.8724 0.5806 0.4117
P: 0.2714 0.6722 0.8552
P: 0.1254 0.8295 0.4179
P: 0.0155 0.4163 0.8531
P: 0.9028 0.9976 0.6251
P: 0.4498 0.0274 0.6984
P: 0.5502 0.9726 0.3016
P: 0.2029 0.2571 0.6459
P: 0.6808 0.7683 0.6308
P: 0.7971 0.7429 0.3541
P: 0.5505 0.4474 0.9258
P: 0.9659 0.0452 0.8264


2:
The following is a GGA-PBEsol calculation of a geometry-optimized P structure, from Alexandria via LeMat-Bulk.

Calculated values
- Total moment: 0.000 μB per atom
- DOS(E_F): 0.177 states/eV/f.u.

Cell lengths 3.3993, 3.5790, 4.9550 Å; angles 90.00, 90.00, 90.00 degrees
Sites, in units of the cell vectors:
P: 0.5000 0.5401 0.2495
P: 0.0000 0.9599 0.2495
P: 0.5000 0.4599 0.7505
P: 0.0000 0.0401 0.7505


The structure with the most favorable energy is 2; the runner-up is 29 meV/atom above it.


1:
The following is a GGA-PBEsol calculation of a geometry-optimized P structure, from Alexandria via LeMat-Bulk.

Calculated values
- Total moment: 0.000 μB per atom
- DOS(E_F): 0.384 states/eV/f.u.

Cell lengths 2.4489, 2.4489, 5.3771 Å; angles 103.16, 103.16, 90.00 degrees
Sites, in units of the cell vectors:
P: 0.8892 0.8892 0.7785
P: 0.1108 0.1108 0.2215


2:
The following is a GGA-PBEsol calculation of a geometry-optimized P structure, from Alexandria via LeMat-Bulk.

Calculated values
- Total moment: 0.000 μB per atom
- DOS(E_F): 0.036 states/eV/f.u.

Cell lengths 3.3156, 4.1965, 5.3942 Å; angles 90.00, 107.90, 90.00 degrees
Sites, in units of the cell vectors:
P: 0.6054 0.5730 0.2108
P: 0.3946 0.4270 0.7892
P: 0.1054 0.9270 0.2108
P: 0.8946 0.0730 0.7892


The structure with the most favorable energy is 2; the runner-up is 116 meV/atom above it.


1:
The following is a GGA-PBEsol calculation of a geometry-optimized PPb3 structure, from Alexandria via LeMat-Bulk.

Calculated values
- Total moment: 0.000 μB per atom
- DOS(E_F): 2.190 states/eV/f.u.

Cell lengths 3.5477, 3.5477, 8.2120 Å; angles 90.00, 90.00, 90.00 degrees
Sites, in units of the cell vectors:
Pb: 0.5000 0.5000 0.2031
Pb: 0.5000 0.5000 0.7969
P: 0.0000 0.0000 0.0000
Pb: 0.0000 0.0000 0.5000


2:
The following is a GGA-PBEsol calculation of a geometry-optimized PPb3 structure, from Alexandria via LeMat-Bulk.

Calculated values
- Total moment: 0.000 μB per atom
- DOS(E_F): 2.101 states/eV/f.u.

Cell lengths 3.3160, 6.1153, 6.1153 Å; angles 116.81, 100.41, 100.41 degrees
Sites, in units of the cell vectors:
Pb: 0.0000 0.5000 0.5000
Pb: 0.5000 0.5000 0.0000
Pb: 0.5000 0.0000 0.5000
P: 0.0000 0.0000 0.0000


3:
The following is a GGA-PBEsol calculation of a geometry-optimized PPb3 structure, from Alexandria via LeMat-Bulk.

Calculated values
- Total moment: 0.000 μB per atom
- DOS(E_F): 2.178 states/eV/f.u.

Cell lengths 3.8056, 3.8056, 8.8241 Å; angles 90.00, 90.00, 120.00 degrees
Sites, in units of the cell vectors:
Pb: 0.3333 0.6667 0.2022
Pb: 0.3333 0.6667 0.7978
P: 0.0000 0.0000 0.0000
Pb: 0.0000 0.0000 0.5000


4:
The following is a GGA-PBEsol calculation of a geometry-optimized PPb3 structure, from Alexandria via LeMat-Bulk.

Calculated values
- Total moment: 0.000 μB per atom
- DOS(E_F): 2.220 states/eV/f.u.

Cell lengths 4.7038, 4.7038, 4.7038 Å; angles 90.00, 90.00, 90.00 degrees
Sites, in units of the cell vectors:
Pb: 0.5000 0.5000 0.0000
P: 0.0000 0.0000 0.0000
Pb: 0.0000 0.5000 0.5000
Pb: 0.5000 0.0000 0.5000


The structure with the most favorable energy is 3; the runner-up is 22 meV/atom above it.


1:
The following is a GGA-PBEsol calculation of a geometry-optimized P2Pb structure, from Alexandria via LeMat-Bulk.

Calculated values
- Total moment: 0.000 μB per atom
- DOS(E_F): 0.565 states/eV/f.u.

Cell lengths 3.2822, 5.1610, 7.9500 Å; angles 92.29, 101.91, 90.00 degrees
Sites, in units of the cell vectors:
P: 0.6048 0.2395 0.2096
Pb: 0.3163 0.2529 0.6325
P: 0.3952 0.7605 0.7904
P: 0.0090 0.2178 0.0181
Pb: 0.6837 0.7471 0.3675
P: 0.9910 0.7822 0.9819


2:
The following is a GGA-PBEsol calculation of a geometry-optimized P2Pb structure, from Alexandria via LeMat-Bulk.

Calculated values
- Total moment: 0.000 μB per atom
- DOS(E_F): 0.792 states/eV/f.u.

Cell lengths 3.2829, 4.9055, 8.3446 Å; angles 90.00, 101.34, 90.00 degrees
Sites, in units of the cell vectors:
P: 0.5992 0.7500 0.1985
P: 0.9914 0.2500 0.9828
P: 0.0086 0.7500 0.0172
Pb: 0.3158 0.7500 0.6316
P: 0.4008 0.2500 0.8015
Pb: 0.6842 0.2500 0.3684


3:
The following is a GGA-PBEsol calculation of a geometry-optimized P2Pb structure, from Alexandria via LeMat-Bulk.

Calculated values
- Total moment: 0.000 μB per atom
- DOS(E_F): 1.761 states/eV/f.u.

Cell lengths 4.8818, 4.8818, 5.7476 Å; angles 90.00, 90.00, 120.00 degrees
Sites, in units of the cell vectors:
Pb: 0.6667 0.3333 0.7500
P: 0.6667 0.3333 0.2500
P: 0.0000 0.0000 0.0000
P: 0.0000 0.0000 0.5000
P: 0.3333 0.6667 0.7500
Pb: 0.3333 0.6667 0.2500


The structure with the most favorable energy is 1; the runner-up is 11 meV/atom above it.


1:
The following is a GGA-PBEsol calculation of a geometry-optimized Re2PPb structure, from Alexandria via LeMat-Bulk.

Calculated values
- Total moment: 0.000 μB per atom
- DOS(E_F): 3.373 states/eV/f.u.

Cell lengths 4.1877, 4.7603, 4.1877 Å; angles 116.09, 90.00, 116.09 degrees
Sites, in units of the cell vectors:
P: 0.5000 0.0000 0.5000
Re: 0.7500 0.5000 0.2500
Re: 0.0000 0.0000 0.0000
Pb: 0.2500 0.5000 0.7500


2:
The following is a GGA-PBEsol calculation of a geometry-optimized Re2PPb structure, from Alexandria via LeMat-Bulk.

Calculated values
- Total moment: 0.000 μB per atom
- DOS(E_F): 3.780 states/eV/f.u.

Cell lengths 3.0235, 5.1469, 5.1945 Å; angles 119.10, 106.00, 91.79 degrees
Sites, in units of the cell vectors:
P: 0.5000 0.0000 0.0000
Re: 0.5000 0.5000 0.5000
Re: 0.0000 0.0000 0.5000
Pb: 0.0000 0.5000 0.0000


The structure with the most favorable energy is 1; the runner-up is 151 meV/atom above it.


1:
The following is a GGA-PBEsol calculation of a geometry-optimized Sb2PPb structure, from Alexandria via LeMat-Bulk.

Calculated values
- Total moment: 0.000 μB per atom
- DOS(E_F): 2.169 states/eV/f.u.

Cell lengths 4.1008, 4.1008, 7.6221 Å; angles 74.39, 74.39, 60.00 degrees
Sites, in units of the cell vectors:
Sb: 0.0091 0.0091 0.9727
Pb: 0.2350 0.2350 0.2950
Sb: 0.7547 0.7547 0.7358
P: 0.5012 0.5012 0.4965


2:
The following is a GGA-PBEsol calculation of a geometry-optimized Sb2PPb structure, from Alexandria via LeMat-Bulk.

Calculated values
- Total moment: 0.000 μB per atom
- DOS(E_F): 2.135 states/eV/f.u.

Cell lengths 4.3433, 4.3433, 5.2525 Å; angles 90.00, 90.00, 90.00 degrees
Sites, in units of the cell vectors:
Sb: 0.0000 0.5000 0.0000
P: 0.5000 0.5000 0.5000
Sb: 0.5000 0.0000 0.0000
Pb: 0.0000 0.0000 0.5000


3:
The following is a GGA-PBEsol calculation of a geometry-optimized Sb2PPb structure, from Alexandria via LeMat-Bulk.

Calculated values
- Total moment: 0.000 μB per atom
- DOS(E_F): 1.100 states/eV/f.u.

Cell lengths 4.1728, 4.1728, 6.3417 Å; angles 90.00, 90.00, 90.00 degrees
Sites, in units of the cell vectors:
P: 0.0000 0.0000 0.5901
Sb: 0.0000 0.0000 0.1973
Sb: 0.5000 0.5000 0.0988
Pb: 0.5000 0.5000 0.6137


The structure with the most favorable energy is 3; the runner-up is 19 meV/atom above it.